First-principles (PBE-GGA) data for a relaxed PrZn9Ag2 crystal, as listed in the Alexandria database.

abc: 3.1001 8.8564 8.8564
angles: 120.00 90.00 90.00
With the nearest neighbours (Å) after each atom.
Positions (direct):
Pr (0.0000, 0.0000, 0.0000)  2 Pr 3.10, 12 Zn 3.21
Zn (0.5000, 0.8170, 0.1830)  2 Ag 2.78, 8 Zn 2.81-3.10
Zn (0.0000, 0.0000, 0.5000)  2 Ag 2.56
Zn (0.0000, 0.5000, 0.5000)  2 Ag 2.56
Zn (0.5000, 0.8170, 0.6339)  2 Ag 2.78, 8 Zn 2.81-3.10
Zn (0.5000, 0.1830, 0.8170)  2 Ag 2.78, 8 Zn 2.81-3.10
Zn (0.5000, 0.6339, 0.8170)  2 Ag 2.78, 8 Zn 2.81-3.10
Zn (0.5000, 0.1830, 0.3661)  2 Ag 2.78, 8 Zn 2.81-3.10
Zn (0.0000, 0.5000, 0.0000)  2 Ag 2.56
Zn (0.5000, 0.3661, 0.1830)  2 Ag 2.78, 8 Zn 2.81-3.10
Ag (0.0000, 0.6667, 0.3333)  9 Zn 2.56-2.78
Ag (0.0000, 0.3333, 0.6667)  9 Zn 2.56-2.78

## Properties
The size of the total moment comes out at 0.00 μB per formula unit. The calculated formation energy comes out at -0.0627 eV per atom. The value obtained for the density is 7.45 g/cm3.